(1)
DFT (GGA-PBE) results for a geometry-optimized LiZnReOs structure.

Energy of formation, meV/atom: 16.9

Lattice parameters (Å, degrees): 6.016 6.016 6.016 90.00 90.00 90.00
Atoms (fractional coordinates):
Li: 0.000 0.000 0.000
Li: 0.000 0.500 0.500
Li: 0.500 0.000 0.500
Li: 0.500 0.500 0.000
Zn: 0.250 0.250 0.250
Zn: 0.250 0.750 0.750
Zn: 0.750 0.250 0.750
Zn: 0.750 0.750 0.250
Re: 0.250 0.250 0.750
Re: 0.250 0.750 0.250
Re: 0.750 0.250 0.250
Re: 0.750 0.750 0.750
Os: 0.000 0.000 0.500
Os: 0.000 0.500 0.000
Os: 0.500 0.000 0.000
Os: 0.500 0.500 0.500

***

(2)
DFT (GGA-PBE) results for a geometry-optimized Li2Fe2Br7 structure.

Formation energy (no corrections), kcal/mol of atoms: -18.676

Lattice parameters (Å, degrees): 6.760 12.960 8.458 90.00 98.82 90.00
Atoms (fractional coordinates):
Li: 0.223 0.200 0.397
Li: 0.223 0.300 0.897
Li: 0.777 0.700 0.103
Li: 0.777 0.800 0.603
Fe: 0.325 0.602 0.677
Fe: 0.325 0.898 0.177
Fe: 0.675 0.102 0.823
Fe: 0.675 0.398 0.323
Br: 0.072 0.698 0.515
Br: 0.072 0.802 0.015
Br: 0.199 0.002 0.366
Br: 0.199 0.498 0.866
Br: 0.423 0.221 0.693
Br: 0.423 0.279 0.193
Br: 0.500 0.000 0.000
Br: 0.500 0.500 0.500
Br: 0.577 0.721 0.807
Br: 0.577 0.779 0.307
Br: 0.801 0.502 0.134
Br: 0.801 0.998 0.634
Br: 0.928 0.198 0.985
Br: 0.928 0.302 0.485

***

(3)
DFT (GGA-PBE) results for a geometry-optimized Mn2Ni structure.

Energy of formation, meV/atom: 259.5

Lattice parameters (Å, degrees): 2.421 2.421 22.976 90.00 90.00 90.00
Atoms (fractional coordinates):
Mn: 0.000 0.250 0.295
Mn: 0.000 0.250 0.455
Mn: 0.000 0.750 0.545
Mn: 0.000 0.750 0.705
Mn: 0.500 0.250 0.045
Mn: 0.500 0.250 0.205
Mn: 0.500 0.750 0.795
Mn: 0.500 0.750 0.955
Ni: 0.000 0.250 0.875
Ni: 0.000 0.750 0.125
Ni: 0.500 0.250 0.625
Ni: 0.500 0.750 0.375

***

(4)
DFT (GGA-PBE) results for a geometry-optimized BaWCl structure.

Formation energy (no corrections), kcal/mol of atoms: 22.844

Lattice parameters (Å, degrees): 7.554 7.554 7.554 90.00 90.00 90.00
Atoms (fractional coordinates):
Ba: 0.000 0.000 0.000
Ba: 0.000 0.500 0.500
Ba: 0.500 0.000 0.500
Ba: 0.500 0.500 0.000
W: 0.000 0.000 0.500
W: 0.000 0.500 0.000
W: 0.500 0.000 0.000
W: 0.500 0.500 0.500
Cl: 0.250 0.250 0.750
Cl: 0.250 0.750 0.250
Cl: 0.750 0.250 0.250
Cl: 0.750 0.750 0.750

***

(5)
DFT (GGA-PBE) results for a geometry-optimized LiFePd2 structure.

Energy of formation, meV/atom: 222.6

Lattice parameters (Å, degrees): 3.837 3.837 16.946 90.00 90.00 90.00
Atoms (fractional coordinates):
Li: 0.000 0.000 0.000
Li: 0.000 0.500 0.250
Li: 0.500 0.000 0.750
Li: 0.500 0.500 0.500
Fe: 0.000 0.000 0.500
Fe: 0.000 0.500 0.750
Fe: 0.500 0.000 0.250
Fe: 0.500 0.500 0.000
Pd: 0.247 0.250 0.125
Pd: 0.250 0.747 0.375
Pd: 0.250 0.753 0.875
Pd: 0.253 0.250 0.625
Pd: 0.747 0.750 0.625
Pd: 0.750 0.247 0.875
Pd: 0.750 0.253 0.375
Pd: 0.753 0.750 0.125

***

(6)
DFT (GGA-PBE) results for a geometry-optimized MgZrAg2 structure.

Energy of formation, meV/atom: 360.2

Lattice parameters (Å, degrees): 7.566 7.566 5.979 90.00 90.00 90.00
Atoms (fractional coordinates):
Mg: 0.000 0.000 0.000
Mg: 0.000 0.500 0.250
Mg: 0.500 0.000 0.750
Mg: 0.500 0.500 0.500
Zr: 0.000 0.000 0.500
Zr: 0.000 0.500 0.750
Zr: 0.500 0.000 0.250
Zr: 0.500 0.500 0.000
Ag: 0.230 0.250 0.125
Ag: 0.250 0.730 0.375
Ag: 0.250 0.770 0.875
Ag: 0.270 0.250 0.625
Ag: 0.730 0.750 0.625
Ag: 0.750 0.230 0.875
Ag: 0.750 0.270 0.375
Ag: 0.770 0.750 0.125

***

(7)
DFT (GGA-PBE) results for a geometry-optimized Pr3Sm2Ni2 structure.

Energy of formation, meV/atom: -164.8

Lattice parameters (Å, degrees): 3.791 6.384 8.995 70.52 77.88 72.81
Atoms (fractional coordinates):
Pr: 0.000 0.000 0.000
Pr: 0.115 0.195 0.573
Pr: 0.885 0.805 0.427
Sm: 0.332 0.532 0.808
Sm: 0.668 0.468 0.192
Ni: 0.335 0.109 0.221
Ni: 0.665 0.891 0.779

***

(8)
DFT (GGA-PBE) results for a geometry-optimized Co2PdSeS structure.

Formation energy (no corrections), kcal/mol of atoms: 6.396

Lattice parameters (Å, degrees): 4.172 4.172 4.657 90.00 90.00 90.00
Atoms (fractional coordinates):
Co: 0.000 0.500 0.000
Co: 0.500 0.000 0.000
Pd: 0.000 0.000 0.500
Se: 0.500 0.500 0.500
S: 0.000 0.000 0.000

***

(9)
DFT (GGA-PBE) results for a geometry-optimized U2F13 structure.

Formation energy (no corrections), kcal/mol of atoms: -68.004

Lattice parameters (Å, degrees): 5.236 6.827 8.190 65.45 83.40 80.59
Atoms (fractional coordinates):
U: 0.192 0.125 0.219
U: 0.808 0.875 0.781
F: 0.000 0.000 0.500
F: 0.096 0.864 0.195
F: 0.152 0.702 0.877
F: 0.267 0.380 0.261
F: 0.367 0.229 0.969
F: 0.377 0.509 0.545
F: 0.472 0.045 0.668
F: 0.528 0.955 0.332
F: 0.623 0.491 0.455
F: 0.633 0.771 0.031
F: 0.733 0.620 0.739
F: 0.848 0.298 0.123
F: 0.904 0.136 0.805

***

(10)
DFT (GGA-PBE) results for a geometry-optimized P2IrBrCl structure.

Formation energy (no corrections), kcal/mol of atoms: 44.861

Lattice parameters (Å, degrees): 4.838 4.838 4.722 90.00 90.00 90.00
Atoms (fractional coordinates):
P: 0.000 0.500 0.000
P: 0.500 0.000 0.000
Ir: 0.000 0.000 0.500
Br: 0.500 0.500 0.000
Cl: 0.500 0.500 0.500

***

(11)
DFT (GGA-PBE) results for a geometry-optimized SrTe2OsN structure.

Formation energy (no corrections), kcal/mol of atoms: 45.073

Lattice parameters (Å, degrees): 6.120 6.120 4.663 90.00 90.00 90.00
Atoms (fractional coordinates):
Sr: 0.000 0.000 0.000
Te: 0.000 0.500 0.000
Te: 0.500 0.000 0.000
Os: 0.500 0.500 0.500
N: 0.000 0.000 0.500

***

Across the entries above, M_tot takes the values 0.000 0.818 0.815 1.667 0.881 0.000 0.000 0.512 0.067 0.147 1.201 μB/atom, respectively.